A relaxed structure of Ag5HgAu6, computed with PBE.

Values from the calculation:
For the theoretical density, the calculation gives 14.570 Mg/m³. The value obtained for the raw total energy is -2.870 eV/atom.

abc: 9.6814 11.7755 4.2746
angles: 90.00 115.99 90.00
With the nearest neighbours (Å) after each atom.
Space group C2/m (No. 12)
Inequivalent atoms, fractional coordinates:
Ag  0.0000  0.0000  0.0000 (multiplicity 2)  4 Ag 2.90, 8 Au 2.92-3.02
Ag  0.0000  0.1668  0.5000 (multiplicity 4)  4 Ag 2.89-2.90, 8 Au 2.90-3.03
Ag  0.0000  0.3320  0.0000 (multiplicity 4)  2 Ag 2.89, 8 Au 2.89-3.08, 2 Hg 2.91
Hg  0.0000  0.5000  0.5000 (multiplicity 2)  4 Ag 2.91, 8 Au 2.96-3.09
Au  0.2447  0.0000  0.7438 (multiplicity 4)  6 Ag 2.90-3.02, 4 Au 2.91, 2 Hg 3.07-3.09
Au  0.2470  0.1678  0.2464 (multiplicity 8)  4 Au 2.88-2.91, 7 Ag 2.89-3.08, 1 Hg 2.96

=====

A relaxed structure of Ag2Hg2Au, computed with PBE.

Values from the calculation:
For the theoretical density, the calculation gives 12.415 Mg/m³. The value obtained for the raw total energy is -1.759 eV/atom.

abc: 3.8456 3.8456 14.7217
angles: 90.00 90.00 90.00
With the nearest neighbours (Å) after each atom.
Space group I4/mmm (No. 139)
Inequivalent atoms, fractional coordinates:
Ag  0.0000  0.5000  0.2500 (multiplicity 4)  4 Ag 2.72, 4 Hg 2.95
Hg  0.0000  0.0000  0.0984 (multiplicity 4)  1 Hg 2.90, 4 Ag 2.95, 4 Au 3.08
Au  0.0000  0.0000  0.5000 (multiplicity 2)  8 Hg 3.08

=====

A relaxed structure of AgHgAu2, computed with PBE.

Values from the calculation:
For the theoretical density, the calculation gives 15.332 Mg/m³. The value obtained for the raw total energy is -2.391 eV/atom.

abc: 9.7443 3.0238 5.2537
angles: 90.00 100.63 90.00
With the nearest neighbours (Å) after each atom.
Space group Cm (No. 8)
Inequivalent atoms, fractional coordinates:
Ag  0.0000  0.0000  0.0000 (multiplicity 2)  7 Au 2.93-3.07, 3 Hg 2.97-2.99, 2 Ag 3.02
Hg  0.2528  0.5000  0.2569 (multiplicity 2)  7 Au 2.96-3.04, 3 Ag 2.97-2.99, 2 Hg 3.02
Au  0.0054  0.5000  0.5109 (multiplicity 2)  5 Au 2.94-3.02, 3 Hg 2.96-2.99, 4 Ag 2.99-3.07
Au  0.2529  0.0000  0.7593 (multiplicity 2)  3 Ag 2.93-2.97, 5 Au 2.94-3.02, 4 Hg 3.02-3.04

=====

A relaxed structure of Ag8Hg2Au, computed with PBE.

Values from the calculation:
For the theoretical density, the calculation gives 11.182 Mg/m³. The value obtained for the raw total energy is -2.372 eV/atom.

abc: 4.1495 8.4369 12.3949
angles: 90.00 90.00 90.00
With the nearest neighbours (Å) after each atom.
Space group Immm (No. 71)
Inequivalent atoms, fractional coordinates:
Ag  0.0000  0.0000  0.1693 (multiplicity 4)  8 Ag 2.93-2.96, 2 Au 2.95, 2 Hg 3.04
Ag  0.0000  0.2419  0.0000 (multiplicity 4)  2 Hg 2.87, 2 Au 2.91, 6 Ag 2.91-2.93
Ag  0.0000  0.2520  0.3349 (multiplicity 8)  7 Ag 2.91-2.96, 1 Au 2.93, 3 Hg 2.98-3.09
Hg  0.0000  0.5000  0.1509 (multiplicity 4)  10 Ag 2.87-3.09
Au  0.0000  0.5000  0.5000 (multiplicity 2)  12 Ag 2.91-2.95